Model i:
CaLaRh2Se: relaxed, PBE-GGA.

Results
DOS(E_F) = 4.47 states/eV/cell
Symmetry = P1 (1)
Calculated volume = 25.0 Å³/atom

a = 4.162 Å, b = 4.328 Å, c = 7.903 Å
α = 89.79°, β = 89.98°, γ = 61.48°
Element x y z (fractional)
Ca  0.000  0.000  0.000
La  0.000  0.000  0.490
Rh  0.337  0.324  0.738
Rh  0.658  0.688  0.740
Se  0.672  0.654  0.236



Model ii:
CaLaRh2Se: relaxed, PBE-GGA.

Results
DOS(E_F) = 3.38 states/eV/cell
Symmetry = Pm (6)
Calculated volume = 23.1 Å³/atom

a = 3.792 Å, b = 3.791 Å, c = 8.041 Å
α = 90.00°, β = 90.02°, γ = 90.00°
Element x y z (fractional)
Ca  0.000  0.000  0.000
La  0.001  0.000  0.450
Rh  0.499  0.000  0.712
Rh  0.997  0.500  0.712
Se  0.501  0.500  0.213



Model iii:
CaLaRh2Se: relaxed, PBE-GGA.

Results
DOS(E_F) = 3.25 states/eV/cell
Symmetry = Imm2 (44)
Calculated volume = 23.7 Å³/atom

a = 7.377 Å, b = 7.377 Å, c = 7.377 Å
α = 148.52°, β = 145.43°, γ = 47.44°
Element x y z (fractional)
Ca  0.000  0.000  0.000
La  0.297  0.297  0.000
Rh  0.649  0.149  0.500
Rh  0.778  0.778  0.000
Se  0.536  0.536  0.000



Quick ranking, most stable first: model i, model ii, model iii.